First-principles (PBE) data for crystalline Ca2YInH at its relaxed geometry, as listed in Alexandria.

Cell: 4.901 4.901 5.018 Å, 90.00 90.00 90.00°
Fractional coordinates of all 5 atoms:
Y  0.000  0.000  0.500
H  0.000  0.000  0.000
Ca  0.000  0.500  0.000
Ca  0.500  0.000  0.000
In  0.500  0.500  0.500

Values from the calculation:
- space group = P4/mmm, No. 123
- crystal system = tetragonal

=====

First-principles (PBE) data for crystalline GaFeOs3 at its relaxed geometry, as listed in Alexandria.

Cell: 4.413 4.413 4.413 Å, 90.00 90.00 90.00°
Fractional coordinates of all 5 atoms:
Os  0.000  0.500  0.000
Os  0.000  0.000  0.500
Os  0.500  0.000  0.000
Fe  0.500  0.500  0.500
Ga  0.000  0.000  0.000

Values from the calculation:
- space group = Pm-3m, No. 221
- formation energy (meV/atom) = 2289
- crystal system = cubic
- energy relative to the lowest polymorph listed for this composition (eV/atom) = 0.5784

=====

First-principles (PBE) data for crystalline SrCu2P at its relaxed geometry, as listed in Alexandria.

Cell: 5.005 5.005 5.005 Å, 128.65 128.65 75.58°
Fractional coordinates of all 4 atoms:
Cu  0.000  0.000  0.000
Cu  0.500  0.500  0.000
P  0.250  0.750  0.500
Sr  0.750  0.250  0.500

Values from the calculation:
- space group = I4/mmm, No. 139
- formation energy (meV/atom) = 81
- crystal system = tetragonal

=====

First-principles (PBE) data for crystalline Rb3Au7 at its relaxed geometry, as listed in Alexandria.

Cell: 7.412 7.412 7.369 Å, 90.00 90.00 134.71°
Fractional coordinates of all 10 atoms:
Rb  0.500  0.500  0.000
Rb  0.662  0.338  0.500
Rb  0.338  0.662  0.500
Au  0.000  0.000  0.500
Au  0.500  0.000  0.000
Au  0.000  0.500  0.000
Au  0.108  0.892  0.197
Au  0.892  0.108  0.197
Au  0.892  0.108  0.803
Au  0.108  0.892  0.803

Values from the calculation:
- space group = Cmmm, No. 65
- formation energy (meV/atom) = -277
- crystal system = orthorhombic

=====

Number 1: calculated volume 120.6 Å³/cell, calculated total energy -3.630 eV per atom. Number 2: calculated volume 86.0 Å³/cell, calculated total energy -6.747 eV per atom. Number 3: calculated volume 74.4 Å³/cell, calculated total energy -3.740 eV per atom. Number 4: calculated volume 287.7 Å³/cell, calculated total energy -2.862 eV per atom.